DFT (PBE) results for Th6Sb4Au after structural relaxation.

a = 8.827 Å, b = 8.827 Å, c = 8.827 Å
α = 89.40°, β = 89.40°, γ = 89.40°
Fractional positions:
Th 0.057 0.927 0.681
Th 0.073 0.319 0.943
Th 0.181 0.427 0.557
Th 0.319 0.943 0.073
Th 0.427 0.557 0.181
Th 0.443 0.819 0.573
Th 0.557 0.181 0.427
Th 0.573 0.443 0.819
Th 0.681 0.057 0.927
Th 0.819 0.573 0.443
Th 0.927 0.681 0.057
Th 0.943 0.073 0.319
Sb 0.140 0.750 0.360
Sb 0.250 0.250 0.250
Sb 0.250 0.640 0.860
Sb 0.360 0.140 0.750
Sb 0.640 0.860 0.250
Sb 0.750 0.360 0.140
Sb 0.750 0.750 0.750
Sb 0.860 0.250 0.640
Au 0.000 0.000 0.000
Au 0.500 0.500 0.500

DFT total energy in eV for the cell shown: -141.813
Volume in A^3/atom: 31.26
Formation energy from raw total energies in meV/atom: -602
Symmetry: R-3c, No. 167